Ac8Si3Te4O | PBE-GGA | optimized geometry

Cell lengths 9.3398, 9.3398, 9.3398 Å; angles 57.90, 57.90, 57.90 degrees
Element x y z (fractional)
Ac 0.2418 0.2418 0.2418
Ac 0.2471 0.7335 0.7335
Ac 0.2665 0.2665 0.7529
Ac 0.2665 0.7529 0.2665
Ac 0.7335 0.2471 0.7335
Ac 0.7335 0.7335 0.2471
Ac 0.7529 0.2665 0.2665
Ac 0.7582 0.7582 0.7582
Si 0.0000 0.0000 0.5000
Si 0.0000 0.5000 0.0000
Si 0.5000 0.0000 0.0000
Te 0.0000 0.0000 0.0000
Te 0.0000 0.5000 0.5000
Te 0.5000 0.0000 0.5000
Te 0.5000 0.5000 0.0000
O 0.5000 0.5000 0.5000

The calculation puts the uncorrected formation energy at -1284 meV per atom. The density of states at the Fermi level comes out at 0.312 states/eV per atom. For the magnetization, the calculation gives 0.00 Bohr magnetons per cell. The space group is R-3m (166). As for the electronic total energy: -87.20 eV for the cell shown.